[1]
VASP calculation (PBE) on a relaxed ScCoW2 crystal.

a = 5.1867 Å, b = 5.1867 Å, c = 2.7251 Å
α = 90.00°, β = 90.00°, γ = 119.79°
Element x y z (fractional)
1 W 0.0000 0.0000 0.0000
2 W 0.5000 0.5000 0.0000
3 Sc 0.0000 0.5000 0.5000
4 Co 0.5000 0.0000 0.5000

Calculated values
DFT formation energy: 379 meV/atom
ρ: 12.3 g/cm³
Symmetry: Cmmm (65)
Energy relative to the lowest polymorph listed for this composition: 0.285 eV/atom
N(E_F): 3.42 states/eV/f.u.

=====

[2]
VASP calculation (PBE) on a relaxed Sc2CoW crystal.

a = 7.2477 Å, b = 7.2477 Å, c = 5.7881 Å
α = 51.24°, β = 51.24°, γ = 90.00°
Element x y z (fractional)
1 Sc 0.3750 0.4202 0.7500
2 Sc 0.1702 0.6250 0.2500
3 Sc 0.5798 0.1250 0.2500
4 Sc 0.8750 0.8298 0.7500
5 Co 0.5000 0.5000 0.0000
6 Co 0.2500 0.7500 0.5000
7 W 0.7500 0.2500 0.5000
8 W 0.0000 0.0000 0.0000

Calculated values
DFT formation energy: 489 meV/atom
ρ: 7.8 g/cm³
Symmetry: I-42d (122)
Energy relative to the lowest polymorph listed for this composition: 0.465 eV/atom
N(E_F): 5.27 states/eV/f.u.

=====

[3]
VASP calculation (PBE) on a relaxed ScCoW4 crystal.

a = 5.2970 Å, b = 5.2970 Å, c = 5.2970 Å
α = 60.00°, β = 60.00°, γ = 60.00°
Each line ends with the local moment (μB).
Element x y z (fractional)
1 W 0.6252 0.6252 0.1245  0.07
2 W 0.1245 0.6252 0.6252  0.07
3 W 0.6252 0.1245 0.6252  0.07
4 W 0.6252 0.6252 0.6252  0.07
5 Sc 0.0000 0.0000 0.0000  0.08
6 Co 0.2500 0.2500 0.2500  1.68

Calculated values
DFT formation energy: 462 meV/atom
ρ: 13.3 g/cm³
Symmetry: F-43m (216)
N(E_F): 8.60 states/eV/f.u.

=====

[4]
VASP calculation (PBE) on a relaxed Sc2CoW crystal.

a = 8.9443 Å, b = 8.9443 Å, c = 8.9443 Å
α = 19.28°, β = 19.28°, γ = 19.28°
Element x y z (fractional)
1 Co 0.7500 0.7500 0.7500
2 Sc 0.4915 0.4915 0.4915
3 Sc 0.0085 0.0085 0.0085
4 W 0.2500 0.2500 0.2500

Calculated values
DFT formation energy: 250 meV/atom
ρ: 8.1 g/cm³
Symmetry: R-3m (166)
Energy relative to the lowest polymorph listed for this composition: 0.226 eV/atom
N(E_F): 6.07 states/eV/f.u.

=====

[5]
VASP calculation (PBE) on a relaxed ScCoW2 crystal.

a = 2.7586 Å, b = 2.7586 Å, c = 8.2590 Å
α = 90.00°, β = 90.00°, γ = 90.00°
Element x y z (fractional)
1 W 0.5000 0.5000 0.2862
2 W 0.0000 0.0000 0.0114
3 Co 0.0000 0.0000 0.4853
4 Sc 0.5000 0.5000 0.7171

Calculated values
DFT formation energy: 138 meV/atom
ρ: 12.5 g/cm³
Symmetry: P4mm (99)
Energy relative to the lowest polymorph listed for this composition: 0.044 eV/atom
N(E_F): 2.95 states/eV/f.u.

=====

[6]
VASP calculation (PBE) on a relaxed ScCoW2 crystal.

a = 4.4440 Å, b = 4.4440 Å, c = 4.4440 Å
α = 60.00°, β = 60.00°, γ = 60.00°
Each line ends with the local moment (μB).
Element x y z (fractional)
1 Co 0.5000 0.5000 0.5000  0.14
2 W 0.2500 0.2500 0.2500  -0.01
3 W 0.0000 0.0000 0.0000  -0.01
4 Sc 0.7500 0.7500 0.7500  -0.02

Calculated values
DFT formation energy: 94 meV/atom
ρ: 12.6 g/cm³
Symmetry: F-43m (216)
Energy relative to the lowest polymorph listed for this composition: 0.000 eV/atom
N(E_F): 2.04 states/eV/f.u.

=====

[7]
VASP calculation (PBE) on a relaxed ScCoW2 crystal.

a = 5.4174 Å, b = 5.4174 Å, c = 4.4251 Å
α = 65.90°, β = 65.90°, γ = 32.89°
Each line ends with the local moment (μB).
Element x y z (fractional)
1 W 0.4834 0.4834 0.5167  0.10
2 W 0.0166 0.0166 0.9833  0.10
3 Sc 0.2500 0.2500 0.2500  -0.07
4 Co 0.7500 0.7500 0.7500  1.18

Calculated values
DFT formation energy: 94 meV/atom
ρ: 12.3 g/cm³
Symmetry: Immm (71)
Energy relative to the lowest polymorph listed for this composition: 0.000 eV/atom
N(E_F): 1.95 states/eV/f.u.

=====

[8]
VASP calculation (PBE) on a relaxed ScCoW2 crystal.

a = 4.4133 Å, b = 4.4133 Å, c = 4.4133 Å
α = 60.00°, β = 60.00°, γ = 60.00°
Element x y z (fractional)
1 Co 0.5000 0.5000 0.5000
2 Sc 0.0000 0.0000 0.0000
3 W 0.2500 0.2500 0.2500
4 W 0.7500 0.7500 0.7500

Calculated values
DFT formation energy: 540 meV/atom
ρ: 12.9 g/cm³
Symmetry: Fm-3m (225)
Energy relative to the lowest polymorph listed for this composition: 0.446 eV/atom
N(E_F): 5.11 states/eV/f.u.

=====

Which of these has the lowest ρ? number 2

=====

Which formula does entry 1 have? ScCoW2

=====

Please write out number 7 again, unchanged.
VASP calculation (PBE) on a relaxed ScCoW2 crystal.

a = 5.4174 Å, b = 5.4174 Å, c = 4.4251 Å
α = 65.90°, β = 65.90°, γ = 32.89°
Each line ends with the local moment (μB).
Element x y z (fractional)
1 W 0.4834 0.4834 0.5167  0.10
2 W 0.0166 0.0166 0.9833  0.10
3 Sc 0.2500 0.2500 0.2500  -0.07
4 Co 0.7500 0.7500 0.7500  1.18

Calculated values
DFT formation energy: 94 meV/atom
ρ: 12.3 g/cm³
Symmetry: Immm (71)
Energy relative to the lowest polymorph listed for this composition: 0.000 eV/atom
N(E_F): 1.95 states/eV/f.u.